Material: VReP2O
Method: DFT, PBE+U
State: optimized geometry

Values from the calculation:
- Magnetic moment: 0.06 μB per atom
- Calculated total energy: -34.0 eV/cell
- DOS(E_F): 0.9791 states/eV per atom

Cell lengths 4.785, 4.785, 3.695 Å; angles 90.00, 90.00, 90.00 degrees
Each line ends with the local moment (μB).
Fractional coordinates of all 5 atoms:
Re  0.000  0.000  0.000  -0.20
O  0.000  0.000  0.500  -0.01
P  0.000  0.500  0.000  -0.02
P  0.500  0.000  0.000  -0.02
V  0.500  0.500  0.500  0.03